Record 1
# RbTaZn

A relaxed structure of RbTaZn (PBE, the Alexandria database).

energy above the lowest structure with this stoichiometry: 0.18 eV per formula unit

Cell: 3.563 4.202 13.084 Å, 98.82 90.29 90.00°
Atoms (fractional coordinates):
1 Rb 0.243 0.343 0.173
2 Rb 0.757 0.657 0.827
3 Ta 0.249 0.964 0.423
4 Ta 0.751 0.036 0.577
5 Zn 0.252 0.539 0.582
6 Zn 0.748 0.461 0.418

Record 2
# RbTaZn

A relaxed structure of RbTaZn (PBE, the Alexandria database).

energy above the lowest structure with this stoichiometry: 0.26 eV per formula unit

Cell: 4.535 4.535 12.418 Å, 100.83 100.83 60.00°
Atoms (fractional coordinates):
1 Rb 0.000 0.000 0.000
2 Rb 0.213 0.213 0.620
3 Ta 0.106 0.106 0.310
4 Ta 0.773 0.773 0.310
5 Zn 0.404 0.404 0.206
6 Zn 0.475 0.475 0.414

Record 3
# RbTaZn

A relaxed structure of RbTaZn (PBE, the Alexandria database).

energy above the lowest structure with this stoichiometry: 5.03 eV per formula unit

Cell: 5.887 5.887 10.669 Å, 90.00 90.00 120.00°
Atoms (fractional coordinates):
1 Rb 0.333 0.667 0.250
2 Rb 0.667 0.333 0.750
3 Ta 0.000 0.000 0.000
4 Ta 0.000 0.000 0.500
5 Zn 0.000 0.000 0.250
6 Zn 0.000 0.000 0.750

Record 4
# RbTaZn

A relaxed structure of RbTaZn (PBE, the Alexandria database).

energy above the lowest structure with this stoichiometry: 1.22 eV per formula unit

Cell: 11.789 3.258 9.923 Å, 90.00 90.00 90.00°
Atoms (fractional coordinates):
1 Rb 0.173 0.250 0.078
2 Rb 0.327 0.750 0.578
3 Rb 0.673 0.250 0.422
4 Rb 0.827 0.750 0.922
5 Ta 0.049 0.250 0.420
6 Ta 0.451 0.750 0.920
7 Ta 0.549 0.250 0.080
8 Ta 0.951 0.750 0.580
9 Zn 0.080 0.250 0.733
10 Zn 0.420 0.750 0.233
11 Zn 0.580 0.250 0.767
12 Zn 0.920 0.750 0.267

Record 5
# RbTaZn

A relaxed structure of RbTaZn (PBE, the Alexandria database).

energy above the lowest structure with this stoichiometry: 3.51 eV per formula unit

Cell: 5.250 5.250 5.771 Å, 90.00 90.00 120.00°
Atoms (fractional coordinates):
1 Rb 0.000 0.000 0.000
2 Rb 0.000 0.000 0.500
3 Ta 0.333 0.667 0.181
4 Ta 0.667 0.333 0.681
5 Zn 0.333 0.667 0.690
6 Zn 0.667 0.333 0.190

Record 6
# RbTaZn

A relaxed structure of RbTaZn (PBE, the Alexandria database).

energy above the lowest structure with this stoichiometry: 0.24 eV per formula unit

Cell: 4.539 4.539 12.323 Å, 100.10 100.10 60.01°
Atoms (fractional coordinates):
1 Rb 0.236 0.236 0.190
2 Rb 0.764 0.764 0.810
3 Ta 0.334 0.334 0.501
4 Ta 0.666 0.666 0.499
5 Zn 0.033 0.033 0.604
6 Zn 0.967 0.967 0.396

Record 7
# Rb3TaZn

A relaxed structure of Rb3TaZn (PBE, the Alexandria database).

energy above the lowest structure with this stoichiometry: 0.00 eV per formula unit

Cell: 7.097 7.097 7.097 Å, 90.00 90.00 90.00°
Atoms (fractional coordinates):
1 Rb 0.000 0.000 0.500
2 Rb 0.000 0.500 0.000
3 Rb 0.500 0.000 0.000
4 Ta 0.000 0.000 0.000
5 Zn 0.500 0.500 0.500

Record 8
# RbZr3Ta

A relaxed structure of RbZr3Ta (PBE, the Alexandria database).

energy above the lowest structure with this stoichiometry: 0.00 eV per formula unit

Cell: 5.355 5.355 5.355 Å, 90.00 90.00 90.00°
Atoms (fractional coordinates):
1 Rb 0.000 0.000 0.000
2 Zr 0.000 0.500 0.500
3 Zr 0.500 0.000 0.500
4 Zr 0.500 0.500 0.000
5 Ta 0.500 0.500 0.500

Record 9
# Rb2ZrTa2

A relaxed structure of Rb2ZrTa2 (PBE, the Alexandria database).

energy above the lowest structure with this stoichiometry: 3.76 eV per formula unit

Cell: 10.093 10.093 2.823 Å, 90.00 90.00 90.00°
Atoms (fractional coordinates):
1 Rb 0.109 0.391 0.000
2 Rb 0.391 0.891 0.000
3 Rb 0.609 0.109 0.000
4 Rb 0.891 0.609 0.000
5 Zr 0.000 0.000 0.000
6 Zr 0.500 0.500 0.000
7 Ta 0.195 0.695 0.500
8 Ta 0.305 0.195 0.500
9 Ta 0.695 0.805 0.500
10 Ta 0.805 0.305 0.500

Record 10
# Rb2ZrTa2

A relaxed structure of Rb2ZrTa2 (PBE, the Alexandria database).

energy above the lowest structure with this stoichiometry: 0.00 eV per formula unit

Cell: 13.879 13.879 13.879 Å, 164.85 164.85 21.48°
Atoms (fractional coordinates):
1 Rb 0.120 0.120 0.000
2 Rb 0.880 0.880 0.000
3 Zr 0.500 0.500 0.000
4 Ta 0.250 0.750 0.500
5 Ta 0.750 0.250 0.500

Record 11
# RbZr3Ta

A relaxed structure of RbZr3Ta (PBE, the Alexandria database).

energy above the lowest structure with this stoichiometry: 5.91 eV per formula unit

Cell: 4.967 4.967 4.967 Å, 90.00 90.00 90.00°
Atoms (fractional coordinates):
1 Rb 0.000 0.000 0.000
2 Zr 0.000 0.000 0.500
3 Zr 0.000 0.500 0.000
4 Zr 0.500 0.000 0.000
5 Ta 0.500 0.500 0.500

Record 12
# RbZr2Ta

A relaxed structure of RbZr2Ta (PBE, the Alexandria database).

energy above the lowest structure with this stoichiometry: 0.00 eV per formula unit

Cell: 5.149 5.149 5.149 Å, 60.00 60.00 60.00°
Atoms (fractional coordinates):
1 Rb 0.000 0.000 0.000
2 Zr 0.250 0.250 0.250
3 Zr 0.750 0.750 0.750
4 Ta 0.500 0.500 0.500

Record 13
# RbZr2Ta

A relaxed structure of RbZr2Ta (PBE, the Alexandria database).

energy above the lowest structure with this stoichiometry: 1.66 eV per formula unit

Cell: 8.394 8.394 8.394 Å, 124.92 124.92 81.66°
Atoms (fractional coordinates):
1 Rb 0.375 0.625 0.750
2 Rb 0.625 0.375 0.250
3 Zr 0.000 0.000 0.000
4 Zr 0.000 0.000 0.500
5 Zr 0.000 0.500 0.000
6 Zr 0.500 0.000 0.500
7 Ta 0.125 0.875 0.250
8 Ta 0.875 0.125 0.750

Record 14
# RbTb4

A relaxed structure of RbTb4 (PBE, the Alexandria database).

Cell: 5.588 5.588 5.588 Å, 90.00 90.00 90.00°
Atoms (fractional coordinates):
1 Rb 0.000 0.000 0.000
2 Tb 0.000 0.000 0.500
3 Tb 0.000 0.500 0.000
4 Tb 0.500 0.000 0.000
5 Tb 0.500 0.500 0.500

Number 1: energy of formation from the pure elements 0.427 eV per atom, spin magnetization 0.0 Bohr magnetons per cell. Number 2: energy of formation from the pure elements 0.453 eV per atom, spin magnetization 0.0 Bohr magnetons per cell. Number 3: energy of formation from the pure elements 2.045 eV per atom, spin magnetization 8.7 Bohr magnetons per cell. Number 4: energy of formation from the pure elements 0.775 eV per atom, spin magnetization 0.0 Bohr magnetons per cell. Number 5: energy of formation from the pure elements 1.538 eV per atom, spin magnetization 0.0 Bohr magnetons per cell. Number 6: energy of formation from the pure elements 0.449 eV per atom, spin magnetization 0.0 Bohr magnetons per cell. Number 7: energy of formation from the pure elements 1.405 eV per atom, spin magnetization 5.9 Bohr magnetons per cell. Number 8: energy of formation from the pure elements 1.079 eV per atom, spin magnetization 0.0 Bohr magnetons per cell. Number 9: energy of formation from the pure elements 2.127 eV per atom, spin magnetization 2.9 Bohr magnetons per cell. Number 10: energy of formation from the pure elements 1.375 eV per atom, spin magnetization 2.9 Bohr magnetons per cell. Number 11: energy of formation from the pure elements 2.261 eV per atom, spin magnetization 0.0 Bohr magnetons per cell. Number 12: energy of formation from the pure elements 1.240 eV per atom, spin magnetization 0.0 Bohr magnetons per cell. Number 13: energy of formation from the pure elements 1.654 eV per atom, spin magnetization 0.0 Bohr magnetons per cell. Number 14: energy of formation from the pure elements 1.118 eV per atom, spin magnetization 0.0 Bohr magnetons per cell.